# 1
The following is a DFT calculation (GGA-PBE) of an optimized crystal structure of CdReP.

Values from the calculation:
The value obtained for the spin magnetization is 0.0 μB per cell. Its total energy is -6.26 eV per atom. For the density of states at the Fermi level, the calculation gives 2.80 states/eV per cell. The value obtained for the energy relative to the elements is 0.01 kcal/mol of atoms.

a b c (Å): 3.007 4.433 8.631
angles (deg): 90.00 91.14 90.00
Fractional positions:
1 Cd 0.239 0.250 0.405
2 Cd 0.761 0.750 0.595
3 Re 0.253 0.250 0.049
4 Re 0.747 0.750 0.951
5 P 0.258 0.750 0.164
6 P 0.742 0.250 0.836


# 2
The following is a DFT calculation (GGA-PBE) of an optimized crystal structure of Si3TcRh.

Values from the calculation:
The uncorrected formation energy is 0.94 eV per atom. The value obtained for the spin magnetization is 2.3 μB per cell. Its total energy is -5.85 eV per atom. For the density of states at the Fermi level, the calculation gives 4.25 states/eV per cell.

a b c (Å): 4.551 4.551 4.551
angles (deg): 90.00 90.00 90.00
Fractional positions:
1 Si 0.000 0.000 0.500
2 Si 0.000 0.500 0.000
3 Si 0.500 0.000 0.000
4 Tc 0.500 0.500 0.500
5 Rh 0.000 0.000 0.000


# 3
The following is a DFT calculation (GGA-PBE) of an optimized crystal structure of YNp2PaAs4.

Values from the calculation:
The value obtained for the spin magnetization is 8.8 μB per cell. Its total energy is -8.56 eV per atom. For the density of states at the Fermi level, the calculation gives 20.84 states/eV per cell. The value obtained for the energy relative to the elements is -23.07 kcal/mol of atoms.

a b c (Å): 7.107 4.119 7.127
angles (deg): 90.00 109.55 90.00
Fractional positions:
1 Y 0.000 0.000 0.000
2 Np 0.500 0.000 0.500
3 Np 0.500 0.500 0.000
4 Pa 0.000 0.500 0.500
5 As 0.249 0.000 0.749
6 As 0.251 0.500 0.252
7 As 0.749 0.500 0.748
8 As 0.751 0.000 0.251


# 4
The following is a DFT calculation (GGA-PBE) of an optimized crystal structure of PuZnCdPd.

Values from the calculation:
The value obtained for the spin magnetization is 5.7 μB per cell. Its total energy is -5.64 eV per atom. For the density of states at the Fermi level, the calculation gives 11.27 states/eV per cell. The value obtained for the energy relative to the elements is -4.86 kcal/mol of atoms.

a b c (Å): 4.878 4.878 4.878
angles (deg): 60.00 60.00 60.00
Fractional positions:
1 Pu 0.000 0.000 0.000
2 Zn 0.250 0.250 0.250
3 Cd 0.500 0.500 0.500
4 Pd 0.750 0.750 0.750


# 5
The following is a DFT calculation (GGA-PBE) of an optimized crystal structure of CdSb2PS.

Values from the calculation:
The uncorrected formation energy is 1.11 eV per atom. The value obtained for the spin magnetization is 0.0 μB per cell. Its total energy is -2.63 eV per atom. For the density of states at the Fermi level, the calculation gives 4.90 states/eV per cell.

a b c (Å): 5.610 5.610 4.674
angles (deg): 90.00 90.00 90.00
Fractional positions:
1 Cd 0.000 0.000 0.000
2 Sb 0.000 0.500 0.000
3 Sb 0.500 0.000 0.000
4 P 0.000 0.000 0.500
5 S 0.500 0.500 0.500


# 6
The following is a DFT calculation (GGA-PBE) of an optimized crystal structure of KNa2NpO5.

Values from the calculation:
The uncorrected formation energy is -2.24 eV per atom. The value obtained for the spin magnetization is 0.0 μB per cell. Its total energy is -6.84 eV per atom.

a b c (Å): 6.666 6.666 6.666
angles (deg): 141.92 126.15 67.85
Fractional positions:
1 K 0.000 0.000 0.000
2 Na 0.275 0.775 0.500
3 Na 0.725 0.225 0.500
4 Np 0.500 0.500 0.000
5 O 0.147 0.373 0.774
6 O 0.401 0.627 0.774
7 O 0.500 0.000 0.500
8 O 0.599 0.373 0.226
9 O 0.853 0.627 0.226


# 7
The following is a DFT calculation (GGA-PBE) of an optimized crystal structure of Cu2Pd5Au3.

Values from the calculation:
The value obtained for the spin magnetization is 0.0 μB per cell. Its total energy is -4.16 eV per atom. For the density of states at the Fermi level, the calculation gives 16.94 states/eV per cell. The value obtained for the energy relative to the elements is 5.45 kcal/mol of atoms.

a b c (Å): 8.572 8.572 8.572
angles (deg): 103.82 87.75 143.17
Fractional positions:
1 Cu 0.145 0.124 0.269
2 Cu 0.355 0.624 0.979
3 Cu 0.645 0.376 0.021
4 Cu 0.855 0.876 0.731
5 Pd 0.159 0.633 0.792
6 Pd 0.250 0.501 0.251
7 Pd 0.250 0.750 0.500
8 Pd 0.250 0.999 0.749
9 Pd 0.341 0.133 0.474
10 Pd 0.659 0.867 0.526
11 Pd 0.750 0.001 0.251
12 Pd 0.750 0.250 0.500
13 Pd 0.750 0.499 0.749
14 Pd 0.841 0.367 0.208
15 Au 0.202 0.368 0.569
16 Au 0.250 0.250 0.000
17 Au 0.298 0.868 0.166
18 Au 0.702 0.132 0.834
19 Au 0.750 0.750 0.000
20 Au 0.798 0.632 0.431


# 8
The following is a DFT calculation (GGA-PBE) of an optimized crystal structure of Tl2NiSn.

Values from the calculation:
The value obtained for the spin magnetization is 0.0 μB per cell. Its total energy is -3.21 eV per atom. For the density of states at the Fermi level, the calculation gives 5.48 states/eV per cell. The value obtained for the energy relative to the elements is 9.66 kcal/mol of atoms.

a b c (Å): 10.298 10.298 10.298
angles (deg): 154.71 154.71 36.07
Fractional positions:
1 Tl 0.093 0.625 0.968
2 Tl 0.375 0.343 0.468
3 Tl 0.657 0.125 0.032
4 Tl 0.875 0.907 0.532
5 Ni 0.000 0.000 0.000
6 Ni 0.750 0.250 0.500
7 Sn 0.250 0.750 0.500
8 Sn 0.500 0.500 0.000


# 9
The following is a DFT calculation (GGA-PBE) of an optimized crystal structure of YBeCr.

Values from the calculation:
The value obtained for the spin magnetization is 3.3 μB per cell. Its total energy is -5.81 eV per atom. For the density of states at the Fermi level, the calculation gives 1.56 states/eV per cell. The value obtained for the energy relative to the elements is 18.28 kcal/mol of atoms.

a b c (Å): 4.437 4.437 4.437
angles (deg): 60.00 60.00 60.00
Fractional positions:
1 Y 0.000 0.000 0.000
2 Be 0.500 0.500 0.500
3 Cr 0.750 0.750 0.750


# 10
The following is a DFT calculation (GGA-PBE) of an optimized crystal structure of Na3AsBr6.

Values from the calculation:
The uncorrected formation energy is -0.94 eV per atom. The value obtained for the spin magnetization is 0.0 μB per cell. Its total energy is -2.81 eV per atom. For the density of states at the Fermi level, the calculation gives 0.00 states/eV per cell.

a b c (Å): 7.772 7.772 7.772
angles (deg): 60.00 60.00 60.00
Fractional positions:
1 Na 0.000 0.000 0.000
2 Na 0.250 0.250 0.250
3 Na 0.750 0.750 0.750
4 As 0.500 0.500 0.500
5 Br 0.260 0.260 0.740
6 Br 0.260 0.740 0.260
7 Br 0.260 0.740 0.740
8 Br 0.740 0.260 0.260
9 Br 0.740 0.260 0.740
10 Br 0.740 0.740 0.260


# 11
The following is a DFT calculation (GGA-PBE) of an optimized crystal structure of V5Cr4Re.

Values from the calculation:
The value obtained for the spin magnetization is 0.0 μB per cell. Its total energy is -9.80 eV per atom. For the density of states at the Fermi level, the calculation gives 8.83 states/eV per cell. The value obtained for the energy relative to the elements is -3.40 kcal/mol of atoms.

a b c (Å): 2.944 2.944 14.705
angles (deg): 90.00 90.00 90.00
Fractional positions:
1 V 0.000 0.000 0.000
2 V 0.000 0.000 0.197
3 V 0.000 0.000 0.394
4 V 0.000 0.000 0.606
5 V 0.000 0.000 0.803
6 Cr 0.500 0.500 0.098
7 Cr 0.500 0.500 0.296
8 Cr 0.500 0.500 0.704
9 Cr 0.500 0.500 0.902
10 Re 0.500 0.500 0.500


# 12
The following is a DFT calculation (GGA-PBE) of an optimized crystal structure of RbNaTlI3.

Values from the calculation:
The uncorrected formation energy is -1.10 eV per atom. The value obtained for the spin magnetization is 0.0 μB per cell. Its total energy is -2.65 eV per atom. For the density of states at the Fermi level, the calculation gives 0.00 states/eV per cell.

a b c (Å): 9.706 5.258 11.343
angles (deg): 90.00 108.38 90.00
Fractional positions:
1 Rb 0.212 0.250 0.239
2 Rb 0.788 0.750 0.761
3 Na 0.148 0.250 0.627
4 Na 0.852 0.750 0.373
5 Tl 0.329 0.750 0.884
6 Tl 0.671 0.250 0.116
7 I 0.090 0.250 0.881
8 I 0.200 0.750 0.505
9 I 0.471 0.750 0.197
10 I 0.529 0.250 0.803
11 I 0.800 0.250 0.495
12 I 0.910 0.750 0.119